No. 1
MnSiAg2 | PBE | relaxed

Calculated values
uncorrected formation energy = 1.2 eV/f.u.
electronic total energy = -19.117 eV per formula unit
space group = Fm-3m (225)
M_tot = 4.18 μB/cell
offset from the most stable computed form = 178 meV per atom

Unit cell a=4.516 b=4.516 c=4.516 alpha=60.00 beta=60.00 gamma=60.00
Element x y z (fractional)
Si 0.000 0.000 0.000
Mn 0.500 0.500 0.500
Ag 0.250 0.250 0.250
Ag 0.750 0.750 0.750

No. 2
MnSiAg2 | PBE | relaxed

Calculated values
uncorrected formation energy = 0.9 eV/f.u.
electronic total energy = -19.361 eV per formula unit
space group = I4/mmm (139)
M_tot = 3.72 μB/cell
offset from the most stable computed form = 117 meV per atom

Unit cell a=5.026 b=5.026 c=5.026 alpha=134.04 beta=134.04 gamma=67.03
Element x y z (fractional)
Ag 0.000 0.000 0.000
Ag 0.500 0.500 0.000
Mn 0.250 0.750 0.500
Si 0.750 0.250 0.500

No. 3
Mn2SiAg | PBE | relaxed

Calculated values
uncorrected formation energy = 2.3 eV/f.u.
electronic total energy = -24.328 eV per formula unit
space group = I-42d (122)
M_tot = 13.72 μB/cell

Unit cell a=3.813 b=3.813 c=9.335 alpha=78.22 beta=78.22 gamma=90.00
Element x y z (fractional)
Si 0.500 0.500 0.000
Si 0.250 0.750 0.500
Mn 0.600 0.125 0.250
Mn 0.150 0.625 0.250
Mn 0.375 0.400 0.750
Mn 0.875 0.850 0.750
Ag 0.000 0.000 0.000
Ag 0.750 0.250 0.500